Record 1
PBE CoCu2Pt, relaxed; ΔE_f = -0.0020 eV per atom
1.0
4.309 -1.340 0.000
4.309 1.340 0.000
-0.801 0.000 4.464
Co Cu Pt
1 2 1
Cartesian
0.000 0.000 0.000 Co
1.578 0.000 3.249 Cu
3.909 0.000 2.259 Cu
6.261 0.000 0.994 Pt

***

Record 2
PBE Ca2ZrCl, relaxed; energy relative to the lowest polymorph listed for this composition = 0.067 eV/atom; formation energy from raw total energies = -560 meV/atom
1.0
2.027 -2.805 0.000
2.027 2.805 0.000
0.000 0.000 9.589
Ca Zr Cl
2 1 1
Cartesian
0.000 0.000 2.179 Ca
0.000 0.000 7.410 Ca
2.027 0.000 4.795 Zr
2.027 0.000 0.000 Cl

***

Record 3
PBE CaPt2, relaxed; ΔE_f = -0.1221 eV per atom
1.0
3.235 0.000 0.000
-1.618 2.802 0.000
0.000 0.000 19.421
Ca Pt
3 6
Cartesian
0.000 0.000 0.000 Ca
0.000 1.868 14.906 Ca
1.618 0.934 4.516 Ca
0.000 0.000 6.753 Pt
0.000 0.000 12.668 Pt
0.000 1.868 2.237 Pt
0.000 1.868 8.757 Pt
1.618 0.934 10.665 Pt
1.618 0.934 17.185 Pt

***

Record 4
PBE Sc2NbZn6, relaxed; ΔE_f = -0.2513 eV per atom
1.0
7.515 0.000 0.000
-3.757 6.508 0.000
0.000 0.000 3.081
Sc Nb Zn
2 1 6
Cartesian
0.000 4.339 0.000 Sc
3.757 2.169 0.000 Sc
0.000 0.000 0.000 Nb
-1.240 2.148 1.540 Zn
-2.517 4.360 1.540 Zn
2.480 0.000 1.540 Zn
1.240 2.148 1.540 Zn
5.035 0.000 1.540 Zn
2.517 4.360 1.540 Zn

***

Record 5
PBE Ga2PSeBr, relaxed; formation energy from raw total energies = 672 meV/atom
1.0
5.449 0.000 0.000
0.000 5.449 0.000
0.000 0.000 5.145
Ga P Se Br
2 1 1 1
Cartesian
0.000 2.725 0.000 Ga
2.725 0.000 0.000 Ga
0.000 0.000 2.572 P
2.725 2.725 0.000 Se
2.725 2.725 2.572 Br

***

Record 6
PBE Dy2NbAg, relaxed; ΔE_f = 0.0291 eV per atom
1.0
3.351 0.000 0.000
0.000 3.351 0.000
0.000 0.000 8.459
Dy Nb Ag
2 1 1
Cartesian
0.000 0.000 2.097 Dy
0.000 0.000 6.362 Dy
1.676 1.676 4.229 Nb
1.676 1.676 0.000 Ag

***

Record 7
PBE NaPrInBi, relaxed; ΔE_f = -0.3361 eV per atom
1.0
0.000 3.919 3.919
3.919 0.000 3.919
3.919 3.919 0.000
Na Pr In Bi
1 1 1 1
Cartesian
0.000 0.000 0.000 Na
3.919 3.919 3.919 Pr
5.878 5.878 5.878 In
1.959 1.959 1.959 Bi

***

Record 8
PBE KTlCl2, relaxed; energy relative to the lowest polymorph listed for this composition = 0.052 eV/atom; formation energy from raw total energies = -1439 meV/atom
1.0
-2.057 2.077 7.698
2.057 -2.077 7.698
2.057 2.077 -7.698
K Tl Cl
1 1 2
Cartesian
0.000 0.000 0.000 K
2.057 0.000 3.810 Tl
0.000 0.000 8.953 Cl
0.000 2.077 5.216 Cl

***

Record 9
PBE CrNiPd6, relaxed; energy relative to the lowest polymorph listed for this composition = 0.142 eV/atom; ΔE_f = 0.1258 eV per atom
1.0
4.956 0.000 0.000
-0.227 4.960 0.000
-0.250 -0.263 5.020
Cr Ni Pd
1 1 6
Cartesian
0.000 0.000 0.000 Cr
2.240 2.349 2.510 Ni
-0.060 3.597 2.263 Pd
0.881 2.459 4.770 Pd
2.085 0.004 3.760 Pd
2.394 4.693 1.260 Pd
3.598 2.238 0.250 Pd
4.539 1.101 2.757 Pd

***

Record 10
PBE CaHo2Ir9, relaxed; ΔE_f = -0.4917 eV per atom
1.0
2.660 1.536 8.737
-2.660 1.536 8.737
0.000 -3.071 8.737
Ca Ho Ir
1 2 9
Cartesian
0.000 0.000 0.000 Ca
0.000 0.000 3.626 Ho
0.000 0.000 22.584 Ho
-1.328 -0.767 10.896 Ir
0.000 0.000 8.722 Ir
0.000 -1.534 15.313 Ir
-1.328 0.767 15.313 Ir
0.000 0.000 13.105 Ir
1.328 -0.767 10.896 Ir
0.000 1.534 10.896 Ir
0.000 0.000 17.487 Ir
1.328 0.767 15.313 Ir

***

Record 11
PBE YP2N4, relaxed; formation energy from raw total energies = -662 meV/atom
1.0
5.542 0.000 0.000
-2.240 5.303 0.000
-1.455 -1.494 5.380
Y P N
2 4 8
Cartesian
0.000 0.000 0.000 Y
-1.319 3.555 2.969 Y
-1.086 0.828 3.380 P
0.813 4.673 1.180 P
1.785 2.069 1.889 P
1.724 0.890 4.614 P
0.273 0.166 4.204 N
0.476 3.051 1.624 N
1.723 0.373 1.661 N
-0.411 3.242 5.020 N
2.025 2.284 3.568 N
3.061 2.645 0.897 N
3.171 0.193 4.321 N
4.414 -0.215 2.038 N

***

Record 12
PBE ZrP2Au, relaxed; energy relative to the lowest polymorph listed for this composition = 0.335 eV/atom; ΔE_f = -0.2021 eV per atom
1.0
-3.021 3.021 5.146
3.021 -3.021 5.146
3.021 3.021 -5.146
Zr P Au
2 4 2
Cartesian
0.000 0.000 0.000 Zr
0.000 3.021 2.573 Zr
1.510 -1.434 3.860 P
1.587 1.510 1.287 P
1.510 4.454 -1.287 P
1.434 1.510 6.433 P
3.021 0.000 2.573 Au
0.000 0.000 5.146 Au

***

Record 13
PBE LaGeN2F, relaxed; energy relative to the lowest polymorph listed for this composition = 0.000 eV/atom; formation energy from raw total energies = -1366 meV/atom
1.0
6.556 0.000 0.000
0.000 3.611 0.000
-1.414 0.000 6.578
La Ge N F
2 2 4 2
Cartesian
0.837 0.903 2.670 La
4.305 2.708 3.908 La
1.006 2.708 5.862 Ge
4.136 0.903 0.715 Ge
0.149 2.708 4.261 N
2.253 0.903 0.208 N
2.889 2.708 6.369 N
4.993 0.903 2.316 N
2.402 2.708 2.317 F
2.739 0.903 4.261 F

***

Record 14
PBE PmGe3Pb2Au12, relaxed; ΔE_f = -0.0034 eV per atom
1.0
4.643 2.680 5.729
-4.643 2.680 5.729
0.000 -5.361 5.729
Pm Ge Pb Au
1 3 2 12
Cartesian
0.000 0.000 0.000 Pm
-4.643 0.000 8.594 Ge
-2.321 1.340 2.865 Ge
2.321 1.340 2.865 Ge
0.000 0.000 6.996 Pb
0.000 0.000 10.191 Pb
-2.500 -1.443 8.970 Au
0.000 -2.380 5.376 Au
-2.062 1.190 5.376 Au
0.000 -2.887 8.218 Au
-2.500 1.443 8.218 Au
-2.062 -1.190 11.812 Au
2.062 1.190 5.376 Au
2.500 -1.443 8.970 Au
0.000 2.887 8.970 Au
2.062 -1.190 11.812 Au
0.000 2.380 11.812 Au
2.500 1.443 8.218 Au

***

Record 15
PBE Rb2MoBrCl6, relaxed; energy relative to the lowest polymorph listed for this composition = 0.111 eV/atom; formation energy from raw total energies = -1116 meV/atom
1.0
0.000 5.648 5.648
5.648 0.000 5.648
5.648 5.648 0.000
Rb Mo Br Cl
2 1 1 6
Cartesian
2.824 2.824 2.824 Rb
8.471 8.471 8.471 Rb
0.000 0.000 0.000 Mo
5.648 5.648 5.648 Br
5.648 5.648 2.371 Cl
5.648 2.371 5.648 Cl
8.924 5.648 5.648 Cl
2.371 5.648 5.648 Cl
5.648 8.924 5.648 Cl
5.648 5.648 8.924 Cl

***

Record 16
PBE Zn4AgMo, relaxed; ΔE_f = 0.2602 eV per atom
1.0
0.000 3.561 3.561
3.561 0.000 3.561
3.561 3.561 0.000
Zn Ag Mo
4 1 1
Cartesian
2.678 2.678 2.678 Zn
4.443 4.443 2.678 Zn
4.443 2.678 4.443 Zn
2.678 4.443 4.443 Zn
0.000 0.000 0.000 Ag
5.341 5.341 5.341 Mo

***

Record 17
PBE TbPr2Dy3Er6, relaxed; ΔE_f = 0.0201 eV per atom
1.0
3.081 -5.333 0.000
3.081 5.333 0.000
-2.046 0.000 11.557
Tb Pr Dy Er
1 2 3 6
Cartesian
0.000 0.000 0.000 Tb
3.081 1.777 0.000 Pr
3.081 -1.777 0.000 Pr
2.058 3.556 5.778 Dy
2.058 0.000 5.778 Dy
2.058 -3.556 5.778 Dy
1.032 1.774 2.926 Er
-0.003 0.000 8.628 Er
1.032 -1.774 2.926 Er
3.085 1.774 8.631 Er
4.120 0.000 2.929 Er
3.085 -1.774 8.631 Er

***

Record 18
PBE Si2TcOs, relaxed; energy relative to the lowest polymorph listed for this composition = 0.311 eV/atom; formation energy from raw total energies = -103 meV/atom
1.0
2.842 0.000 0.000
0.000 3.825 0.000
-0.004 0.000 5.165
Si Tc Os
2 1 1
Cartesian
0.009 0.000 1.203 Si
2.829 0.000 3.962 Si
1.421 1.913 0.000 Tc
-0.002 1.913 2.582 Os

***

Record 19
PBE Np4As6Rh7, relaxed; ΔE_f = -0.5601 eV per atom
1.0
-4.228 4.228 4.228
4.228 -4.228 4.228
4.228 4.228 -4.228
Np As Rh
4 6 7
Cartesian
2.114 2.114 -2.114 Np
2.114 -2.114 2.114 Np
-2.114 2.114 2.114 Np
2.114 2.114 2.114 Np
2.651 0.000 0.000 As
5.805 0.000 0.000 As
0.000 2.651 0.000 As
0.000 0.000 2.651 As
0.000 5.805 0.000 As
0.000 0.000 5.805 As
0.000 0.000 0.000 Rh
4.228 2.114 0.000 Rh
4.228 0.000 2.114 Rh
2.114 4.228 0.000 Rh
2.114 0.000 4.228 Rh
0.000 4.228 2.114 Rh
0.000 2.114 4.228 Rh

***

Record 20
PBE ErTmZn3, relaxed; ΔE_f = -0.3415 eV per atom
1.0
1.773 -13.258 0.000
1.773 13.258 0.000
0.000 0.000 4.446
Er Tm Zn
2 2 6
Cartesian
1.773 11.317 3.334 Er
1.773 -11.317 1.111 Er
1.773 7.697 1.111 Tm
1.773 -7.697 3.334 Tm
1.773 4.564 1.111 Zn
1.773 3.151 3.334 Zn
1.773 0.615 3.334 Zn
1.773 -0.615 1.111 Zn
1.773 -3.151 1.111 Zn
1.773 -4.564 3.334 Zn

***

Record 21
PBE Ba2CdPdPb, relaxed; ΔE_f = -0.3541 eV per atom
1.0
6.063 0.000 0.000
0.000 6.063 0.000
0.000 0.000 5.234
Ba Cd Pd Pb
2 1 1 1
Cartesian
0.000 3.031 0.000 Ba
3.031 0.000 0.000 Ba
0.000 0.000 2.617 Cd
0.000 0.000 0.000 Pd
3.031 3.031 2.617 Pb

***

Record 22
PBE DyMg11In, relaxed; ΔE_f = -0.0437 eV per atom
1.0
2.956 -7.229 0.000
2.956 7.229 0.000
-2.847 0.000 7.197
Dy Mg In
1 11 1
Cartesian
0.000 0.000 0.000 Dy
-1.423 0.000 3.599 Mg
1.478 3.615 0.000 Mg
0.098 4.693 4.675 Mg
0.064 1.519 5.686 Mg
2.967 4.693 2.522 Mg
0.064 -1.519 5.686 Mg
1.478 -3.615 0.000 Mg
3.001 1.519 1.511 Mg
0.098 -4.693 4.675 Mg
3.001 -1.519 1.511 Mg
2.967 -4.693 2.522 Mg
1.533 0.000 3.599 In

***

Record 23
PBE YFeSiAg2, relaxed; formation energy from raw total energies = 1542 meV/atom
1.0
5.357 0.000 0.000
0.000 5.357 0.000
0.000 0.000 4.757
Y Fe Si Ag
1 1 1 2
Cartesian
0.000 0.000 0.000 Y
0.000 0.000 2.379 Fe
2.679 2.679 2.379 Si
0.000 2.679 0.000 Ag
2.679 0.000 0.000 Ag

***

Record 24
PBE NdSm3Tl, relaxed; energy relative to the lowest polymorph listed for this composition = 0.000 eV/atom; ΔE_f = -0.0828 eV per atom
1.0
8.195 -2.801 0.000
8.195 2.801 0.000
-0.822 0.000 3.586
Nd Sm Tl
1 3 1
Cartesian
0.000 0.000 0.000 Nd
2.853 0.000 2.546 Sm
6.259 0.000 1.441 Sm
12.608 0.000 1.018 Sm
9.337 0.000 2.167 Tl